(1)
First-principles (GGA-PBE) data for crystalline Cs2PmGaS4 at its relaxed geometry, as listed in Alexandria.

abc: 8.169 8.169 8.208
angles: 101.46 101.46 96.29
Positions (direct):
Cs 0.500 0.000 0.000
Cs 0.500 0.000 0.500
Cs 0.000 0.000 0.500
Cs 0.500 0.500 0.000
Pm 0.000 0.500 0.000
Pm 0.000 0.500 0.500
Ga 0.500 0.500 0.500
Ga 0.000 0.000 0.000
S 0.142 0.724 0.821
S 0.776 0.358 0.679
S 0.224 0.642 0.321
S 0.858 0.276 0.179
S 0.841 0.810 0.073
S 0.690 0.659 0.427
S 0.310 0.341 0.573
S 0.159 0.190 0.927

Computed properties:
- Raw formation energy: -1.128 eV/atom
- Symmetry: C2/c (15)

***

(2)
First-principles (GGA-PBE) data for crystalline ReSi2Os at its relaxed geometry, as listed in Alexandria.

abc: 4.578 4.578 4.411
angles: 73.61 73.61 37.67
Positions (direct):
Os 0.496 0.496 0.566
Re 0.253 0.253 0.184
Si 0.000 0.000 0.039
Si 0.750 0.750 0.711

Computed properties:
- Raw formation energy: -0.262 eV/atom
- Symmetry: Cm (8)

***

(3)
First-principles (GGA-PBE) data for crystalline Pu3SbN2 at its relaxed geometry, as listed in Alexandria.

abc: 5.554 6.773 6.773
angles: 96.92 90.00 90.00
Positions (direct):
Pu 0.750 0.110 0.890
Pu 0.750 0.177 0.407
Pu 0.250 0.407 0.177
Pu 0.750 0.593 0.823
Pu 0.250 0.823 0.593
Pu 0.250 0.890 0.110
Sb 0.250 0.325 0.675
Sb 0.750 0.675 0.325
N 0.000 0.158 0.158
N 0.500 0.158 0.158
N 0.000 0.842 0.842
N 0.500 0.842 0.842

Computed properties:
- Raw formation energy: -1.034 eV/atom
- Symmetry: Cmcm (63)

***

(4)
First-principles (GGA-PBE) data for crystalline Np4CoP8 at its relaxed geometry, as listed in Alexandria.

abc: 3.894 3.815 15.087
angles: 90.00 90.00 90.00
Positions (direct):
Np 0.000 0.000 0.104
Np 0.000 0.500 0.607
Np 0.500 0.500 0.400
Np 0.500 0.000 0.890
Co 0.000 0.000 0.314
P 0.000 0.000 0.460
P 0.000 0.500 0.952
P 0.500 0.500 0.041
P 0.500 0.000 0.548
P 0.000 0.500 0.245
P 0.000 0.000 0.749
P 0.500 0.000 0.246
P 0.500 0.500 0.748

Computed properties:
- Formation energy from the elements: -14.4 kcal/mol of atoms
- Symmetry: Pmm2 (25)

***

(5)
First-principles (GGA-PBE) data for crystalline Zr2TePd9 at its relaxed geometry, as listed in Alexandria.

abc: 4.042 4.042 12.274
angles: 90.00 90.00 90.00
Positions (direct):
Zr 0.000 0.000 0.335
Zr 0.000 0.000 0.665
Te 0.000 0.000 0.000
Pd 0.500 0.500 0.000
Pd 0.500 0.500 0.337
Pd 0.500 0.500 0.663
Pd 0.500 0.000 0.176
Pd 0.500 0.000 0.500
Pd 0.500 0.000 0.824
Pd 0.000 0.500 0.176
Pd 0.000 0.500 0.500
Pd 0.000 0.500 0.824

Computed properties:
- Raw formation energy: -0.612 eV/atom
- Symmetry: P4/mmm (123)

***

(6)
First-principles (GGA-PBE) data for crystalline SrTbO2 at its relaxed geometry, as listed in Alexandria.

abc: 3.520 3.520 6.196
angles: 73.50 73.50 60.00
Positions (direct):
Sr 0.500 0.500 0.500
Tb 0.000 0.000 0.000
O 0.261 0.261 0.218
O 0.739 0.739 0.782

Computed properties:
- Raw formation energy: -2.755 eV/atom
- Symmetry: R-3m (166)

***

(7)
First-principles (GGA-PBE) data for crystalline TbTm2Si3Pt4 at its relaxed geometry, as listed in Alexandria.

abc: 4.134 4.134 11.124
angles: 90.00 90.00 90.00
Positions (direct):
Tb 0.500 0.500 0.500
Tm 0.500 0.000 0.222
Tm 0.000 0.500 0.778
Si 0.000 0.000 0.500
Si 0.500 0.000 0.877
Si 0.000 0.500 0.123
Pt 0.500 0.500 0.000
Pt 0.000 0.000 0.000
Pt 0.500 0.000 0.666
Pt 0.000 0.500 0.334

Computed properties:
- Raw formation energy: -1.021 eV/atom
- Symmetry: P-4m2 (115)

***

(8)
First-principles (GGA-PBE) data for crystalline Nd4Cd2Ag3 at its relaxed geometry, as listed in Alexandria.

abc: 5.100 5.742 9.300
angles: 77.83 90.00 63.63
Positions (direct):
Nd 0.643 0.715 0.901
Nd 0.062 0.876 0.347
Nd 0.938 0.124 0.653
Nd 0.357 0.285 0.099
Cd 0.267 0.466 0.727
Cd 0.733 0.534 0.273
Ag 0.365 0.269 0.436
Ag 0.000 0.000 0.000
Ag 0.635 0.731 0.564

Computed properties:
- Formation energy from the elements: -5.4 kcal/mol of atoms
- Symmetry: C2/m (12)